# YScMo2 | Alexandria | PBE | optimized geometry
# Magnetization (μB/cell): 0.000
# Relative energy among the computed polymorphs (eV per formula unit): 0.86
# ρ (g/cm³): 6.54
# Formation enthalpy at 0 K (eV per atom): 0.28
# Raw total energy (eV per formula unit): -33.4
data_YScMo2
_space_group_name_H-M_alt 'C m m 2'
_space_group_IT_number 35
_cell_length_a 3.367
_cell_length_b 5.022
_cell_length_c 9.779
_cell_angle_alpha 90.00
_cell_angle_beta 90.00
_cell_angle_gamma 90.00
loop_
_space_group_symop_operation_xyz
'x,y,z'
'-x,-y,z'
'-x,y,z'
'x,-y,z'
'x+1/2,y+1/2,z'
'-x+1/2,-y+1/2,z'
'-x+1/2,y+1/2,z'
'x+1/2,-y+1/2,z'
loop_
_atom_site_label
_atom_site_type_symbol
_atom_site_fract_x
_atom_site_fract_y
_atom_site_fract_z
Y1 Y 0.000 0.000 0.000
Sc1 Sc 0.000 0.500 0.319
Mo1 Mo 0.000 0.000 0.550
Mo2 Mo 0.000 0.500 0.746



# SrCo2Cu | Alexandria | PBE | optimized geometry
# Magnetization (μB/cell): 5.272
# Relative energy among the computed polymorphs (eV per formula unit): 2.69
# ρ (g/cm³): 6.85
# Formation enthalpy at 0 K (eV per atom): 0.78
# Raw total energy (eV per formula unit): -16.9
data_SrCo2Cu
_space_group_name_H-M_alt 'C 1 2/m 1'
_space_group_IT_number 12
_cell_length_a 5.439
_cell_length_b 9.220
_cell_length_c 2.864
_cell_angle_alpha 90.00
_cell_angle_beta 114.80
_cell_angle_gamma 90.00
loop_
_space_group_symop_operation_xyz
'x,y,z'
'-x,-y,-z'
'-x,y,-z'
'x,-y,z'
'x+1/2,y+1/2,z'
'-x+1/2,-y+1/2,-z'
'-x+1/2,y+1/2,-z'
'x+1/2,-y+1/2,z'
loop_
_atom_site_label
_atom_site_type_symbol
_atom_site_fract_x
_atom_site_fract_y
_atom_site_fract_z
Sr1 Sr 0.000 0.000 0.000
Co1 Co 0.250 0.250 0.500
Cu1 Cu 0.000 0.500 0.000



# SiP2OsO | Alexandria | PBE | optimized geometry
# Magnetization (μB/cell): 0.000
# Relative energy among the computed polymorphs (eV per formula unit): 0.61
# ρ (g/cm³): 5.88
# Raw total energy (eV per formula unit): -30.7
# Formation energy without anion corrections (eV per atom): 0.34
data_SiP2OsO
_space_group_name_H-M_alt 'P 4/m m m'
_space_group_IT_number 123
_space_group_name_Hall '-P 4 2'
_cell_length_a 4.788
_cell_length_b 4.788
_cell_length_c 3.647
_cell_angle_alpha 90.00
_cell_angle_beta 90.00
_cell_angle_gamma 90.00
loop_
_atom_site_label
_atom_site_type_symbol
_atom_site_fract_x
_atom_site_fract_y
_atom_site_fract_z
Si1 Si 0.000 0.000 0.000
P1 P 0.000 0.500 0.500
Os1 Os 0.500 0.500 0.500
O1 O 0.500 0.500 0.000



# Mn2Nb2Pt3 | Alexandria | PBE | optimized geometry
# Magnetization (μB/cell): 16.544
# ρ (g/cm³): 13.00
# Formation enthalpy at 0 K (eV per atom): -0.36
# Raw total energy (eV per formula unit): -59.1
data_Mn2Nb2Pt3
_space_group_name_H-M_alt 'I m m m'
_space_group_IT_number 71
_space_group_name_Hall '-I 2 2'
_cell_length_a 2.944
_cell_length_b 3.681
_cell_length_c 20.775
_cell_angle_alpha 90.00
_cell_angle_beta 90.00
_cell_angle_gamma 90.00
loop_
_atom_site_label
_atom_site_type_symbol
_atom_site_fract_x
_atom_site_fract_y
_atom_site_fract_z
Mn1 Mn 0.000 0.000 0.068
Nb1 Nb 0.000 0.000 0.210
Pt1 Pt 0.000 0.000 0.363
Pt2 Pt 0.000 0.000 0.500



# ScZnTe2N | Alexandria | PBE | optimized geometry
# Magnetization (μB/cell): 1.679
# Relative energy among the computed polymorphs (eV per formula unit): 0.58
# ρ (g/cm³): 5.57
# Raw total energy (eV per formula unit): -20.5
# Formation energy without anion corrections (eV per atom): 0.34
data_ScZnTe2N
_space_group_name_H-M_alt 'P 4/m m m'
_space_group_IT_number 123
_space_group_name_Hall '-P 4 2'
_cell_length_a 5.486
_cell_length_b 5.486
_cell_length_c 3.761
_cell_angle_alpha 90.00
_cell_angle_beta 90.00
_cell_angle_gamma 90.00
loop_
_atom_site_label
_atom_site_type_symbol
_atom_site_fract_x
_atom_site_fract_y
_atom_site_fract_z
Sc1 Sc 0.000 0.000 0.000
Zn1 Zn 0.500 0.500 0.500
Te1 Te 0.000 0.500 0.500
N1 N 0.500 0.500 0.000



# RbHPdCl6 | Alexandria | PBE | optimized geometry
# Magnetization (μB/cell): 0.000
# ρ (g/cm³): 2.67
# Raw total energy (eV per formula unit): -27.3
data_RbHPdCl6
_space_group_name_H-M_alt 'P -1'
_space_group_IT_number 2
_cell_length_a 6.089
_cell_length_b 6.493
_cell_length_c 7.676
_cell_angle_alpha 104.06
_cell_angle_beta 111.04
_cell_angle_gamma 105.70
loop_
_space_group_symop_operation_xyz
'x,y,z'
'-x,-y,-z'
loop_
_atom_site_label
_atom_site_type_symbol
_atom_site_fract_x
_atom_site_fract_y
_atom_site_fract_z
Rb1 Rb 0.000 0.000 0.000
H1 H 0.500 0.500 0.500
Pd1 Pd 0.000 0.500 0.500
Cl1 Cl 0.058 0.574 0.230
Cl2 Cl 0.309 0.338 0.550
Cl3 Cl 0.323 0.864 0.730



# PmDy2As3 | Alexandria | PBE | optimized geometry
# Magnetization (μB/cell): 0.000
# ρ (g/cm³): 7.55
# Formation enthalpy at 0 K (eV per atom): -1.53
# Raw total energy (eV per formula unit): -37.1
data_PmDy2As3
_space_group_name_H-M_alt 'I m m m'
_space_group_IT_number 71
_space_group_name_Hall '-I 2 2'
_cell_length_a 4.163
_cell_length_b 5.884
_cell_length_c 12.471
_cell_angle_alpha 90.00
_cell_angle_beta 90.00
_cell_angle_gamma 90.00
loop_
_atom_site_label
_atom_site_type_symbol
_atom_site_fract_x
_atom_site_fract_y
_atom_site_fract_z
Pm1 Pm 0.000 0.000 0.000
Dy1 Dy 0.000 0.000 0.334
As1 As 0.000 0.500 0.000
As2 As 0.000 0.500 0.329



# SrZnHgO2 | Alexandria | PBE | optimized geometry
# Magnetization (μB/cell): 0.207
# ρ (g/cm³): 6.65
# Raw total energy (eV per formula unit): -14.4
# Formation energy without anion corrections (eV per atom): -0.24
data_SrZnHgO2
_space_group_name_H-M_alt 'P 4/m m m'
_space_group_IT_number 123
_space_group_name_Hall '-P 4 2'
_cell_length_a 4.224
_cell_length_b 4.224
_cell_length_c 5.400
_cell_angle_alpha 90.00
_cell_angle_beta 90.00
_cell_angle_gamma 90.00
loop_
_atom_site_label
_atom_site_type_symbol
_atom_site_fract_x
_atom_site_fract_y
_atom_site_fract_z
Sr1 Sr 0.000 0.000 0.000
Zn1 Zn 0.000 0.000 0.500
Hg1 Hg 0.500 0.500 0.000
O1 O 0.000 0.500 0.500



# CeDyOs2 | Alexandria | PBE | optimized geometry
# Magnetization (μB/cell): 0.000
# Relative energy among the computed polymorphs (eV per formula unit): 0.09
# ρ (g/cm³): 13.93
# Formation enthalpy at 0 K (eV per atom): -0.10
# Raw total energy (eV per formula unit): -33.4
data_CeDyOs2
_space_group_name_H-M_alt 'F m -3 m'
_space_group_IT_number 225
_space_group_name_Hall '-F 4 2 3'
_cell_length_a 6.880
_cell_length_b 6.880
_cell_length_c 6.880
_cell_angle_alpha 90.00
_cell_angle_beta 90.00
_cell_angle_gamma 90.00
loop_
_atom_site_label
_atom_site_type_symbol
_atom_site_fract_x
_atom_site_fract_y
_atom_site_fract_z
Ce1 Ce 0.000 0.000 0.000
Dy1 Dy 0.000 0.000 0.500
Os1 Os 0.250 0.250 0.250



# Tm4Cu2Pt | Alexandria | PBE | optimized geometry
# Magnetization (μB/cell): 0.000
# Relative energy among the computed polymorphs (eV per formula unit): 0.17
# ρ (g/cm³): 10.46
# Formation enthalpy at 0 K (eV per atom): -0.47
# Raw total energy (eV per formula unit): -35.4
data_Tm4Cu2Pt
_space_group_name_H-M_alt 'R -3 m'
_space_group_IT_number 166
_space_group_name_Hall '-R 3 2"'
_cell_length_a 4.8197
_cell_length_b 4.8197
_cell_length_c 23.6303
_cell_angle_alpha 90.00
_cell_angle_beta 90.00
_cell_angle_gamma 120.00
loop_
_atom_site_label
_atom_site_type_symbol
_atom_site_fract_x
_atom_site_fract_y
_atom_site_fract_z
Tm1 Tm 0.0000 0.0000 0.1240
Tm2 Tm 0.0000 0.0000 0.3745
Cu1 Cu 0.0000 0.0000 0.2520
Pt1 Pt 0.0000 0.0000 0.5000



# K2SnHgI4 | Alexandria | PBE | optimized geometry
# Magnetization (μB/cell): 0.000
# ρ (g/cm³): 4.37
# Raw total energy (eV per formula unit): -19.8
# Formation energy without anion corrections (eV per atom): -0.89
data_K2SnHgI4
_space_group_name_H-M_alt 'C 1 2/m 1'
_space_group_IT_number 12
_cell_length_a 15.406
_cell_length_b 4.824
_cell_length_c 9.834
_cell_angle_alpha 90.00
_cell_angle_beta 109.61
_cell_angle_gamma 90.00
loop_
_space_group_symop_operation_xyz
'x,y,z'
'-x,-y,-z'
'-x,y,-z'
'x,-y,z'
'x+1/2,y+1/2,z'
'-x+1/2,-y+1/2,-z'
'-x+1/2,y+1/2,-z'
'x+1/2,-y+1/2,z'
loop_
_atom_site_label
_atom_site_type_symbol
_atom_site_fract_x
_atom_site_fract_y
_atom_site_fract_z
K1 K 0.205 0.000 0.212
Sn1 Sn 0.000 0.000 0.500
Hg1 Hg 0.000 0.500 0.000
I1 I 0.120 0.500 0.427
I2 I 0.140 0.000 0.821